RuRh2: single point on PBEsol structure, meta-GGA SCAN.

```
RuRh2
1.0
-2.021 0.436 1.676
-0.476 -0.952 -2.440
0.566 -6.103 2.271
Ru Rh
1 2
direct
0.000 0.000 0.000
0.667 0.333 0.329
0.333 0.667 0.671
```

* offset from the most stable computed form: 0.384 kcal/mol of atoms
* SG: P-3m1 (164)
* D(E_F): 3.01 states/eV/cell
* ΔE_f: 0.02 eV per atom
* density: 12.7 Mg/m³

***

RuRh4: single point on PBEsol structure, meta-GGA SCAN.

```
RuRh4
1.0
3.767 0.000 0.000
1.883 4.220 0.000
1.883 0.000 4.220
Rh Ru
4 1
direct
0.798 0.599 0.804
0.202 0.401 0.196
0.602 0.196 0.599
0.398 0.804 0.401
0.000 0.000 0.000
```

* offset from the most stable computed form: 0.121 kcal/mol of atoms
* SG: I4/m (87)
* D(E_F): 5.39 states/eV/cell
* ΔE_f: 0.02 eV per atom
* density: 12.7 Mg/m³